Density functional theory data (GGA+U) for a geometry-optimized Ca3Ni3PdO8 structure.

Summary:
Energy (eV/cell): -84.1
Symmetry: R-3m
Magnetic moment (μB/atom): 0.40
ρ (Mg/m³): 4.9

Cell: 6.3241 6.3238 6.3598 Å, 119.81 90.00 120.00°
Closest atoms and distances in Å follow each position.
Fractional coordinates of all 15 atoms:
O 0.7421 0.4842 0.7263  3 Ni 2.17, 3 Ca 2.32
O 0.2296 0.4592 0.7075  1 Pd 2.06, 2 Ni 2.15
O 0.7704 0.0222 0.2926  1 Pd 2.06, 2 Ni 2.15
O 0.2296 0.9778 0.7074  1 Pd 2.06, 2 Ni 2.15
O 0.2579 0.5158 0.2737  3 Ni 2.17, 3 Ca 2.32
O 0.2518 0.0222 0.2926  1 Pd 2.06, 2 Ni 2.15
O 0.7482 0.9778 0.7074  1 Pd 2.06, 2 Ni 2.15
O 0.7704 0.5408 0.2925  1 Pd 2.06, 2 Ni 2.15
Pd 0.0000 0.0000 0.5000  6 O 2.06
Ni 0.5000 0.5000 0.5000  6 O 2.15-2.17
Ni 0.5000 0.0000 0.5000  6 O 2.15-2.17
Ni 0.0000 0.5000 0.5000  6 O 2.15-2.17
Ca 0.0000 0.5000 0.0000  6 O 2.32-2.35
Ca 0.5000 0.5000 0.0000  6 O 2.32-2.35
Ca 0.0000 0.0000 0.0000  6 O 2.32-2.35